Density functional theory data (PBE) for InCo2Tc after structural relaxation.

a b c (Å): 5.640 7.035 2.778
angles (deg): 90.00 90.00 90.00
Fractional positions:
1 In 0.000 0.000 0.000
2 In 0.500 0.500 0.000
3 Co 0.250 0.250 0.500
4 Co 0.250 0.750 0.500
5 Co 0.750 0.250 0.500
6 Co 0.750 0.750 0.500
7 Tc 0.000 0.500 0.000
8 Tc 0.500 0.000 0.000

- ΔH_f (0 K): 0.289 eV/atom
- E above lowest polymorph: 0.143 eV/atom
- DOS(E_F): 4.95 states/eV/f.u.
- Space group: Cmmm, No. 65


Density functional theory data (PBE) for BaAgPd2 after structural relaxation.

a b c (Å): 4.950 4.950 18.668
angles (deg): 90.00 90.00 90.00
Fractional positions:
1 Ba 0.000 0.000 0.000
2 Ba 0.000 0.500 0.250
3 Ba 0.500 0.000 0.750
4 Ba 0.500 0.500 0.500
5 Ag 0.000 0.000 0.500
6 Ag 0.000 0.500 0.750
7 Ag 0.500 0.000 0.250
8 Ag 0.500 0.500 0.000
9 Pd 0.078 0.250 0.625
10 Pd 0.250 0.578 0.875
11 Pd 0.250 0.922 0.375
12 Pd 0.422 0.250 0.125
13 Pd 0.578 0.750 0.125
14 Pd 0.750 0.078 0.375
15 Pd 0.750 0.422 0.875
16 Pd 0.922 0.750 0.625

- ΔH_f (0 K): -0.159 eV/atom
- E above lowest polymorph: 0.205 eV/atom
- DOS(E_F): 1.45 states/eV/f.u.
- Space group: I-42d, No. 122


Density functional theory data (PBE) for AcBC after structural relaxation.

a b c (Å): 4.208 4.208 7.160
angles (deg): 90.00 90.00 90.00
Fractional positions:
1 Ac 0.000 0.000 0.000
2 Ac 0.500 0.500 0.500
3 B 0.000 0.000 0.579
4 B 0.500 0.500 0.079
5 C 0.000 0.000 0.384
6 C 0.500 0.500 0.884

- ΔH_f (0 K): 0.197 eV/atom
- E above lowest polymorph: 0.404 eV/atom
- DOS(E_F): 1.75 states/eV/f.u.
- Space group: I4mm, No. 107


Density functional theory data (PBE) for Dy5Te2Os after structural relaxation.

a b c (Å): 8.097 12.750 4.277
angles (deg): 90.00 90.00 90.00
Fractional positions:
1 Dy 0.000 0.000 0.000
2 Dy 0.156 0.312 0.000
3 Dy 0.175 0.577 0.500
4 Dy 0.325 0.077 0.500
5 Dy 0.344 0.812 0.000
6 Dy 0.500 0.500 0.000
7 Dy 0.656 0.188 0.000
8 Dy 0.675 0.923 0.500
9 Dy 0.825 0.423 0.500
10 Dy 0.844 0.688 0.000
11 Te 0.050 0.823 0.500
12 Te 0.450 0.323 0.500
13 Te 0.550 0.677 0.500
14 Te 0.950 0.177 0.500
15 Os 0.000 0.500 0.000
16 Os 0.500 0.000 0.000

- E above lowest polymorph: 0.000 eV/atom
- DOS(E_F): 5.60 states/eV/f.u.
- Formation energy without anion corrections: -740 meV per atom
- Space group: Pbam, No. 55


Density functional theory data (PBE) for Sr2CuAg after structural relaxation.

a b c (Å): 7.513 7.513 7.513
angles (deg): 90.00 90.00 90.00
Fractional positions:
1 Sr 0.000 0.000 0.000
2 Sr 0.000 0.500 0.500
3 Sr 0.250 0.250 0.250
4 Sr 0.250 0.750 0.750
5 Sr 0.500 0.000 0.500
6 Sr 0.500 0.500 0.000
7 Sr 0.750 0.250 0.750
8 Sr 0.750 0.750 0.250
9 Cu 0.000 0.000 0.500
10 Cu 0.000 0.500 0.000
11 Cu 0.500 0.000 0.000
12 Cu 0.500 0.500 0.500
13 Ag 0.250 0.250 0.750
14 Ag 0.250 0.750 0.250
15 Ag 0.750 0.250 0.250
16 Ag 0.750 0.750 0.750

- ΔH_f (0 K): 0.174 eV/atom
- DOS(E_F): 5.08 states/eV/f.u.
- Space group: F-43m, No. 216


Density functional theory data (PBE) for CeY3Ho4S8 after structural relaxation.

a b c (Å): 7.831 7.831 7.831
angles (deg): 59.94 59.94 59.94
Fractional positions:
1 Ce 0.000 0.000 0.000
2 Y 0.000 0.500 0.500
3 Y 0.500 0.000 0.500
4 Y 0.500 0.500 0.000
5 Ho 0.000 0.000 0.500
6 Ho 0.000 0.500 0.000
7 Ho 0.500 0.000 0.000
8 Ho 0.500 0.500 0.500
9 S 0.249 0.249 0.249
10 S 0.251 0.746 0.746
11 S 0.254 0.254 0.749
12 S 0.254 0.749 0.254
13 S 0.746 0.251 0.746
14 S 0.746 0.746 0.251
15 S 0.749 0.254 0.254
16 S 0.751 0.751 0.751

- DOS(E_F): 10.97 states/eV/f.u.
- Formation energy without anion corrections: -1994 meV per atom
- Space group: R-3m, No. 166


Density functional theory data (PBE) for SrIn2Hg after structural relaxation.

a b c (Å): 3.872 4.753 6.718
angles (deg): 90.00 105.06 90.00
Fractional positions:
1 Sr 0.000 0.000 0.000
2 In 0.311 0.500 0.652
3 In 0.723 0.000 0.482
4 Hg 0.591 0.500 0.204

- ΔH_f (0 K): -0.287 eV/atom
- DOS(E_F): 1.65 states/eV/f.u.
- Space group: Pm, No. 6


Density functional theory data (PBE) for LaPrMg after structural relaxation.

a b c (Å): 5.465 13.258 5.457
angles (deg): 90.00 90.00 90.00
Fractional positions:
1 La 0.000 0.093 0.250
2 La 0.000 0.907 0.750
3 La 0.500 0.407 0.750
4 La 0.500 0.593 0.250
5 Pr 0.000 0.404 0.250
6 Pr 0.000 0.596 0.750
7 Pr 0.500 0.096 0.750
8 Pr 0.500 0.904 0.250
9 Mg 0.000 0.249 0.750
10 Mg 0.000 0.751 0.250
11 Mg 0.500 0.251 0.250
12 Mg 0.500 0.749 0.750

- ΔH_f (0 K): -0.057 eV/atom
- E above lowest polymorph: 0.000 eV/atom
- DOS(E_F): 3.72 states/eV/f.u.
- Space group: Cmcm, No. 63


Density functional theory data (PBE) for DySi3Rh5 after structural relaxation.

a b c (Å): 6.455 6.455 12.188
angles (deg): 90.00 90.00 144.79
Fractional positions:
1 Dy 0.158 0.842 0.750
2 Dy 0.842 0.158 0.250
3 Si 0.114 0.886 0.250
4 Si 0.384 0.616 0.042
5 Si 0.384 0.616 0.458
6 Si 0.616 0.384 0.542
7 Si 0.616 0.384 0.958
8 Si 0.886 0.114 0.750
9 Rh 0.000 0.000 0.000
10 Rh 0.000 0.000 0.500
11 Rh 0.203 0.797 0.075
12 Rh 0.203 0.797 0.425
13 Rh 0.450 0.550 0.644
14 Rh 0.450 0.550 0.856
15 Rh 0.550 0.450 0.144
16 Rh 0.550 0.450 0.356
17 Rh 0.797 0.203 0.575
18 Rh 0.797 0.203 0.925

- E above lowest polymorph: 0.210 eV/atom
- DOS(E_F): 6.21 states/eV/f.u.
- Formation energy without anion corrections: -769 meV per atom
- Space group: Cmcm, No. 63


Density functional theory data (PBE) for RbTi3Bi after structural relaxation.

a b c (Å): 5.528 5.528 5.528
angles (deg): 90.00 90.00 90.00
Fractional positions:
1 Rb 0.000 0.000 0.000
2 Ti 0.000 0.500 0.500
3 Ti 0.500 0.000 0.500
4 Ti 0.500 0.500 0.000
5 Bi 0.500 0.500 0.500

- ΔH_f (0 K): 1.152 eV/atom
- E above lowest polymorph: 0.000 eV/atom
- DOS(E_F): 6.23 states/eV/f.u.
- Space group: Pm-3m, No. 221


Density functional theory data (PBE) for TbNd6Se8 after structural relaxation.

a b c (Å): 8.422 8.422 8.422
angles (deg): 60.00 60.00 60.00
Fractional positions:
1 Tb 0.000 0.000 0.000
2 Nd 0.000 0.000 0.500
3 Nd 0.000 0.500 0.000
4 Nd 0.000 0.500 0.500
5 Nd 0.500 0.000 0.000
6 Nd 0.500 0.000 0.500
7 Nd 0.500 0.500 0.000
8 Se 0.247 0.247 0.753
9 Se 0.247 0.753 0.247
10 Se 0.247 0.753 0.753
11 Se 0.250 0.250 0.250
12 Se 0.750 0.750 0.750
13 Se 0.753 0.247 0.247
14 Se 0.753 0.247 0.753
15 Se 0.753 0.753 0.247

- DOS(E_F): 7.01 states/eV/f.u.
- Formation energy without anion corrections: -1876 meV per atom
- Space group: Fm-3m, No. 225


Density functional theory data (PBE) for AlFe3H after structural relaxation.

a b c (Å): 6.700 6.700 4.596
angles (deg): 90.00 90.00 137.49
Fractional positions:
1 Al 0.176 0.824 0.750
2 Al 0.824 0.176 0.250
3 Fe 0.000 0.000 0.000
4 Fe 0.000 0.000 0.500
5 Fe 0.085 0.395 0.750
6 Fe 0.395 0.085 0.250
7 Fe 0.605 0.915 0.750
8 Fe 0.915 0.605 0.250
9 H 0.436 0.564 0.750
10 H 0.564 0.436 0.250

- E above lowest polymorph: 0.628 eV/atom
- DOS(E_F): 3.62 states/eV/f.u.
- Space group: Cmcm, No. 63


Density functional theory data (PBE) for Tb2Ge2Au3 after structural relaxation.

a b c (Å): 10.422 4.154 7.275
angles (deg): 90.00 113.32 90.00
Fractional positions:
1 Tb 0.138 0.000 0.271
2 Tb 0.362 0.500 0.729
3 Tb 0.638 0.500 0.271
4 Tb 0.862 0.000 0.729
5 Ge 0.151 0.000 0.700
6 Ge 0.349 0.500 0.300
7 Ge 0.651 0.500 0.700
8 Ge 0.849 0.000 0.300
9 Au 0.000 0.500 0.500
10 Au 0.115 0.500 0.941
11 Au 0.385 0.000 0.059
12 Au 0.500 0.000 0.500
13 Au 0.615 0.000 0.941
14 Au 0.885 0.500 0.059

- ΔH_f (0 K): -0.668 eV/atom
- DOS(E_F): 1.92 states/eV/f.u.
- Space group: C2/m, No. 12


Density functional theory data (PBE) for Sr3PrU2As6 after structural relaxation.

a b c (Å): 7.440 7.440 7.557
angles (deg): 99.46 99.46 120.00
Fractional positions:
1 Sr 0.000 0.000 0.000
2 Sr 0.337 0.663 0.000
3 Sr 0.663 0.337 0.000
4 Pr 0.500 0.500 0.500
5 U 0.167 0.833 0.500
6 U 0.833 0.167 0.500
7 As 0.078 0.427 0.281
8 As 0.224 0.224 0.719
9 As 0.427 0.078 0.281
10 As 0.573 0.922 0.719
11 As 0.776 0.776 0.281
12 As 0.922 0.573 0.719

- ΔH_f (0 K): -1.083 eV/atom
- DOS(E_F): 11.45 states/eV/f.u.
- Space group: C2/m, No. 12


Density functional theory data (PBE) for PmHfSn after structural relaxation.

a b c (Å): 5.071 5.071 3.633
angles (deg): 90.00 90.00 120.00
Fractional positions:
1 Pm 0.000 0.000 0.000
2 Hf 0.667 0.333 0.499
3 Sn 0.333 0.667 0.503

- ΔH_f (0 K): -0.102 eV/atom
- E above lowest polymorph: 0.384 eV/atom
- DOS(E_F): 3.96 states/eV/f.u.
- Space group: P3m1, No. 156


Density functional theory data (PBE) for CdSi2RuW after structural relaxation.

a b c (Å): 4.494 4.494 5.016
angles (deg): 90.00 90.00 90.00
Fractional positions:
1 Cd 0.000 0.000 0.000
2 Si 0.000 0.500 0.500
3 Si 0.500 0.000 0.500
4 Ru 0.500 0.500 0.500
5 W 0.500 0.500 0.000

- DOS(E_F): 5.10 states/eV/f.u.
- Formation energy without anion corrections: 936 meV per atom
- Space group: P4/mmm, No. 123


Density functional theory data (PBE) for La2Ga2As after structural relaxation.

a b c (Å): 7.462 7.462 4.576
angles (deg): 90.00 90.00 90.00
Fractional positions:
1 La 0.173 0.327 0.000
2 La 0.327 0.827 0.000
3 La 0.673 0.173 0.000
4 La 0.827 0.673 0.000
5 Ga 0.126 0.626 0.500
6 Ga 0.374 0.126 0.500
7 Ga 0.626 0.874 0.500
8 Ga 0.874 0.374 0.500
9 As 0.000 0.000 0.500
10 As 0.500 0.500 0.500

- ΔH_f (0 K): -0.660 eV/atom
- DOS(E_F): 3.87 states/eV/f.u.
- Space group: P4/mbm, No. 127


Density functional theory data (PBE) for Rb8Br3O2F after structural relaxation.

a b c (Å): 7.789 7.789 10.092
angles (deg): 90.00 90.00 120.00
Fractional positions:
1 Rb 0.166 0.332 0.316
2 Rb 0.166 0.834 0.316
3 Rb 0.332 0.166 0.684
4 Rb 0.333 0.667 0.950
5 Rb 0.667 0.333 0.050
6 Rb 0.668 0.834 0.316
7 Rb 0.834 0.166 0.684
8 Rb 0.834 0.668 0.684
9 Br 0.000 0.000 0.000
10 Br 0.333 0.667 0.607
11 Br 0.667 0.333 0.393
12 O 0.333 0.667 0.195
13 O 0.667 0.333 0.805
14 F 0.000 0.000 0.500

- Formation energy without anion corrections: -1465 meV per atom
- Space group: P-3m1, No. 164


Density functional theory data (PBE) for ReSn after structural relaxation.

a b c (Å): 7.482 7.482 7.482
angles (deg): 90.00 90.00 90.00
Fractional positions:
1 Re 0.000 0.250 0.500
2 Re 0.000 0.750 0.500
3 Re 0.250 0.500 0.000
4 Re 0.500 0.000 0.250
5 Re 0.500 0.000 0.750
6 Re 0.750 0.500 0.000
7 Sn 0.000 0.500 0.250
8 Sn 0.000 0.500 0.750
9 Sn 0.250 0.000 0.500
10 Sn 0.500 0.250 0.000
11 Sn 0.500 0.750 0.000
12 Sn 0.750 0.000 0.500

- ΔH_f (0 K): 1.960 eV/atom
- E above lowest polymorph: 1.606 eV/atom
- DOS(E_F): 3.07 states/eV/f.u.
- Space group: Pm-3n, No. 223


Density functional theory data (PBE) for Sm6YEr4 after structural relaxation.

a b c (Å): 5.633 5.633 25.707
angles (deg): 90.00 90.00 118.16
Fractional positions:
1 Sm 0.000 0.000 0.000
2 Sm 0.000 0.000 0.500
3 Sm 0.042 0.958 0.750
4 Sm 0.303 0.697 0.102
5 Sm 0.303 0.697 0.398
6 Sm 0.370 0.630 0.682
7 Sm 0.370 0.630 0.818
8 Sm 0.630 0.370 0.182
9 Sm 0.630 0.370 0.318
10 Sm 0.697 0.303 0.602
11 Sm 0.697 0.303 0.898
12 Sm 0.958 0.042 0.250
13 Y 0.295 0.705 0.250
14 Y 0.705 0.295 0.750
15 Er 0.037 0.963 0.623
16 Er 0.037 0.963 0.877
17 Er 0.348 0.652 0.544
18 Er 0.348 0.652 0.956
19 Er 0.652 0.348 0.044
20 Er 0.652 0.348 0.456
21 Er 0.963 0.037 0.123
22 Er 0.963 0.037 0.377

- ΔH_f (0 K): 0.117 eV/atom
- E above lowest polymorph: 0.000 eV/atom
- DOS(E_F): 19.09 states/eV/f.u.
- Space group: Cmcm, No. 63


no.,VASP energy (eV/atom)
1,-6.540
2,-3.949
3,-6.473
4,-5.805
5,-2.404
6,-6.785
7,-2.152
8,-3.824
9,-7.172
10,-4.554
11,-5.950
12,-6.042
13,-4.715
14,-6.108
15,-6.338
16,-5.862
17,-4.772
18,-3.218
19,-6.265
20,-4.704